First-principles (PBE) data for an optimized crystal structure of IrRuSe, as listed in Alexandria via LeMat-Bulk.

Cell lengths 4.0422, 4.0422, 3.3031 Å; angles 90.00, 90.00, 120.00 degrees
Space group P3m1 (No. 156)
Symmetry-distinct sites (fractional):
Ir: 0.0000 0.0000 0.0000 (multiplicity 1)
Ru: 0.3333 0.6667 0.4750 (multiplicity 1)
Se: 0.6667 0.3333 0.7115 (multiplicity 1)

Properties
Total DFT energy (no corrections), eV for the cell shown: -20.5
Formation energy (no corrections), eV/atom: 0.366
Distance to the lowest polymorph of the same formula, eV/atom: 0.091